Record 1
{
  "formula": "CdNiH2",
  "functional": "GGA-PBE",
  "state": "relaxed",
  "cell": [[0.000, 2.677, 2.677], [2.677, 0.000, 2.677], [2.677, 2.677, 0.000]],
  "species": ["Ni", "H", "H", "Cd"],
  "fractional_positions": [[0.000, 0.000, 0.000], [0.250, 0.250, 0.250], [0.750, 0.750, 0.750], [0.500, 0.500, 0.500]],
  "spacegroup": "Fm-3m, No. 225",
  "total_energy_ev_per_cell": -10.79
}

=====

Record 2
{
  "formula": "CdNiH2",
  "functional": "GGA-PBE",
  "state": "relaxed",
  "cell": [[-2.828, -0.123, -0.983], [0.982, -0.174, -2.827], [1.041, -4.379, 2.257]],
  "species": ["Cd", "Ni", "H", "H"],
  "fractional_positions": [[0.314, 0.813, 0.618], [0.609, 0.109, 0.219], [0.538, 0.539, 0.082], [0.038, 0.038, 0.081]],
  "spacegroup": "Cm, No. 8",
  "total_energy_ev_per_cell": -13.15
}

=====

Question: Number 1 is which compound?
Answer: CdNiH2